Ba2Ca2In3: relaxed, PBE.

Cell: 5.5708 5.5701 10.3653 Å, 90.00 105.67 119.97°
Last column: nearest neighbours and their distance in Å.
Fractional coordinates of all 7 atoms:
Ba (0.2471, 0.1237, 0.3708)  4 In 3.53-3.65
Ba (0.7529, 0.8763, 0.6292)  4 In 3.53-3.65
Ca (0.7410, 0.3706, 0.1116)  7 In 3.29-3.40
Ca (0.2590, 0.6294, 0.8884)  7 In 3.29-3.40
In (0.0000, 0.0000, 0.0000)  6 Ca 3.40, 2 Ba 3.65
In (0.5181, 0.2589, 0.7772)  4 Ca 3.29-3.40, 3 Ba 3.53
In (0.4819, 0.7411, 0.2228)  4 Ca 3.29-3.40, 3 Ba 3.53

Properties
- total magnetic moment (μB/atom) = 0.000
- ΔE_f (meV/atom) = -354
- symmetry = C2/m (12)